# PBE-GGA Ac2AlCdGe, relaxed
# V in Å³ per cell: 310.88
# M_tot in μB per cell: 0.0
# DOS at the Fermi energy in states/eV per cell: 7.698
# Formation enthalpy at 0 K in meV/atom: -419
# VASP energy in eV/cell: -39.2
data_Ac2AlCdGe
_chemical_formula_sum 'Ac4 Al2 Cd2 Ge2'
_symmetry_space_group_name_H-M 'P 1 21/m 1'
_symmetry_Int_Tables_number 11
_cell_length_a 8.007
_cell_length_b 4.836
_cell_length_c 8.032
_cell_angle_alpha 90.00
_cell_angle_beta 91.86
_cell_angle_gamma 90.00
loop_
_symmetry_equiv_pos_as_xyz
'x,y,z'
'-x,-y,-z'
'-x,y+1/2,-z'
'x,-y+1/2,z'
loop_
_atom_site_label
_atom_site_type_symbol
_atom_site_fract_x
_atom_site_fract_y
_atom_site_fract_z
Ac1 Ac 0.207 0.250 0.496
Ac2 Ac 0.230 0.250 0.993
Al1 Al 0.418 0.750 0.278
Cd1 Cd 0.413 0.750 0.721
Ge1 Ge 0.104 0.750 0.237



# PBE-GGA Ac2Al4CdHg3, relaxed
# V in Å³ per cell: 241.50
# M_tot in μB per cell: 0.0
# DOS at the Fermi energy in states/eV per cell: 2.320
# Formation enthalpy at 0 K in meV/atom: -358
# VASP energy in eV/cell: -28.6
data_Ac2Al4CdHg3
_chemical_formula_sum 'Ac2 Al4 Cd1 Hg3'
_symmetry_space_group_name_H-M 'P -4 m 2'
_symmetry_Int_Tables_number 115
_cell_length_a 4.623
_cell_length_b 4.623
_cell_length_c 11.300
_cell_angle_alpha 90.00
_cell_angle_beta 90.00
_cell_angle_gamma 90.00
loop_
_symmetry_equiv_pos_as_xyz
'x,y,z'
'y,-x,-z'
'-x,-y,z'
'-y,x,-z'
'-x,y,z'
'-y,-x,-z'
'x,-y,z'
'y,x,-z'
loop_
_atom_site_label
_atom_site_type_symbol
_atom_site_fract_x
_atom_site_fract_y
_atom_site_fract_z
Ac1 Ac 0.000 0.500 0.248
Al1 Al 0.000 0.000 0.000
Al2 Al 0.000 0.500 0.636
Al3 Al 0.500 0.500 0.000
Cd1 Cd 0.000 0.000 0.500
Hg1 Hg 0.000 0.500 0.869
Hg2 Hg 0.500 0.500 0.500



# PBE-GGA AcAlCdHg2, relaxed
# V in Å³ per cell: 259.20
# M_tot in μB per cell: 0.0
# DOS at the Fermi energy in states/eV per cell: 5.611
# Formation enthalpy at 0 K in meV/atom: -301
# VASP energy in eV/cell: -21.7
data_AcAlCdHg2
_chemical_formula_sum 'Ac2 Al2 Cd2 Hg4'
_symmetry_space_group_name_H-M 'I -4 m 2'
_symmetry_Int_Tables_number 119
_symmetry_space_group_name_Hall 'I -4 -2'
_cell_length_a 4.615
_cell_length_b 4.615
_cell_length_c 12.171
_cell_angle_alpha 90.00
_cell_angle_beta 90.00
_cell_angle_gamma 90.00
loop_
_atom_site_label
_atom_site_type_symbol
_atom_site_fract_x
_atom_site_fract_y
_atom_site_fract_z
Ac1 Ac 0.000 0.000 0.000
Al1 Al 0.000 0.500 0.250
Cd1 Cd 0.000 0.500 0.750
Hg1 Hg 0.000 0.000 0.383



# PBE-GGA Ac2AlCdHg6, relaxed
# V in Å³ per cell: 1657.91
# M_tot in μB per cell: 0.0
# DOS at the Fermi energy in states/eV per cell: 34.047
# Formation enthalpy at 0 K in meV/atom: -214
# VASP energy in eV/cell: -101.0
data_Ac2AlCdHg6
_chemical_formula_sum 'Ac12 Al6 Cd6 Hg36'
_symmetry_space_group_name_H-M 'R -3 m'
_symmetry_Int_Tables_number 166
_symmetry_space_group_name_Hall '-R 3 2"'
_cell_length_a 7.1237
_cell_length_b 7.1237
_cell_length_c 37.7245
_cell_angle_alpha 90.00
_cell_angle_beta 90.00
_cell_angle_gamma 120.00
loop_
_atom_site_label
_atom_site_type_symbol
_atom_site_fract_x
_atom_site_fract_y
_atom_site_fract_z
Ac1 Ac 0.0000 0.0000 0.1092
Ac2 Ac 0.0000 0.0000 0.2805
Al1 Al 0.0000 0.0000 0.0000
Al2 Al 0.0000 0.0000 0.5000
Cd1 Cd 0.0000 0.0000 0.4253
Hg1 Hg 0.0377 0.5188 0.2994
Hg2 Hg 0.0582 0.5291 0.8658



# PBE-GGA AcAlCd2Hg4, relaxed
# V in Å³ per cell: 606.71
# M_tot in μB per cell: 0.0
# DOS at the Fermi energy in states/eV per cell: 8.430
# Formation enthalpy at 0 K in meV/atom: -162
# VASP energy in eV/cell: -36.6
data_AcAlCd2Hg4
_chemical_formula_sum 'Ac3 Al3 Cd6 Hg12'
_symmetry_space_group_name_H-M 'R -3 m'
_symmetry_Int_Tables_number 166
_symmetry_space_group_name_Hall '-R 3 2"'
_cell_length_a 4.9645
_cell_length_b 4.9645
_cell_length_c 28.4245
_cell_angle_alpha 90.00
_cell_angle_beta 90.00
_cell_angle_gamma 120.00
loop_
_atom_site_label
_atom_site_type_symbol
_atom_site_fract_x
_atom_site_fract_y
_atom_site_fract_z
Ac1 Ac 0.0000 0.0000 0.0000
Al1 Al 0.0000 0.0000 0.5000
Cd1 Cd 0.0000 0.0000 0.2455
Hg1 Hg 0.0000 0.0000 0.1312
Hg2 Hg 0.0000 0.0000 0.3942



# PBE-GGA AcHoAlCd, relaxed
# V in Å³ per cell: 460.79
# M_tot in μB per cell: 0.0
# DOS at the Fermi energy in states/eV per cell: 16.250
# Formation enthalpy at 0 K in meV/atom: -248
# VASP energy in eV/cell: -57.4
data_AcHoAlCd
_chemical_formula_sum 'Ac4 Ho4 Al4 Cd4'
_symmetry_space_group_name_H-M 'F -4 3 m'
_symmetry_Int_Tables_number 216
_symmetry_space_group_name_Hall 'F -4 2 3'
_cell_length_a 7.724
_cell_length_b 7.724
_cell_length_c 7.724
_cell_angle_alpha 90.00
_cell_angle_beta 90.00
_cell_angle_gamma 90.00
loop_
_atom_site_label
_atom_site_type_symbol
_atom_site_fract_x
_atom_site_fract_y
_atom_site_fract_z
Ac1 Ac 0.000 0.000 0.000
Ho1 Ho 0.000 0.000 0.500
Al1 Al 0.250 0.250 0.250
Cd1 Cd 0.250 0.250 0.750



# PBE-GGA Ac2AlCd6In, relaxed
# V in Å³ per cell: 564.88
# M_tot in μB per cell: 0.0
# DOS at the Fermi energy in states/eV per cell: 17.152
# Formation enthalpy at 0 K in meV/atom: -141
# VASP energy in eV/cell: -43.2
data_Ac2AlCd6In
_chemical_formula_sum 'Ac4 Al2 Cd12 In2'
_symmetry_space_group_name_H-M 'P m m n'
_symmetry_Int_Tables_number 59
_cell_length_a 7.810
_cell_length_b 9.571
_cell_length_c 7.556
_cell_angle_alpha 90.00
_cell_angle_beta 90.00
_cell_angle_gamma 90.00
loop_
_symmetry_equiv_pos_as_xyz
'x,y,z'
'-x,-y,-z'
'-x+1/2,-y+1/2,z'
'x+1/2,y+1/2,-z'
'x+1/2,-y,-z'
'-x+1/2,y,z'
'-x,y+1/2,-z'
'x,-y+1/2,z'
loop_
_atom_site_label
_atom_site_type_symbol
_atom_site_fract_x
_atom_site_fract_y
_atom_site_fract_z
Ac1 Ac 0.250 0.019 0.228
Al1 Al 0.250 0.250 0.548
Cd1 Cd 0.062 0.250 0.882
Cd2 Cd 0.072 0.750 0.540
Cd3 Cd 0.250 0.002 0.720
In1 In 0.250 0.750 0.920



# PBE-GGA Ac2Al4Cd3In, relaxed
# V in Å³ per cell: 247.52
# M_tot in μB per cell: 0.0
# DOS at the Fermi energy in states/eV per cell: 2.650
# Formation enthalpy at 0 K in meV/atom: -297
# VASP energy in eV/cell: -31.6
data_Ac2Al4Cd3In
_chemical_formula_sum 'Ac2 Al4 Cd3 In1'
_symmetry_space_group_name_H-M 'P -4 m 2'
_symmetry_Int_Tables_number 115
_cell_length_a 4.656
_cell_length_b 4.656
_cell_length_c 11.418
_cell_angle_alpha 90.00
_cell_angle_beta 90.00
_cell_angle_gamma 90.00
loop_
_symmetry_equiv_pos_as_xyz
'x,y,z'
'y,-x,-z'
'-x,-y,z'
'-y,x,-z'
'-x,y,z'
'-y,-x,-z'
'x,-y,z'
'y,x,-z'
loop_
_atom_site_label
_atom_site_type_symbol
_atom_site_fract_x
_atom_site_fract_y
_atom_site_fract_z
Ac1 Ac 0.000 0.500 0.247
Al1 Al 0.000 0.000 0.000
Al2 Al 0.000 0.500 0.639
Al3 Al 0.500 0.500 0.000
Cd1 Cd 0.000 0.500 0.870
Cd2 Cd 0.500 0.500 0.500
In1 In 0.000 0.000 0.500



# PBE-GGA LiAc2AlCd6, relaxed
# V in Å³ per cell: 260.83
# M_tot in μB per cell: 0.0
# DOS at the Fermi energy in states/eV per cell: 5.253
# Formation enthalpy at 0 K in meV/atom: -156
# VASP energy in eV/cell: -20.9
data_LiAc2AlCd6
_chemical_formula_sum 'Li1 Ac2 Al1 Cd6'
_symmetry_space_group_name_H-M 'P -1'
_symmetry_Int_Tables_number 2
_cell_length_a 6.949
_cell_length_b 6.951
_cell_length_c 7.402
_cell_angle_alpha 62.06
_cell_angle_beta 89.99
_cell_angle_gamma 60.10
loop_
_symmetry_equiv_pos_as_xyz
'x,y,z'
'-x,-y,-z'
loop_
_atom_site_label
_atom_site_type_symbol
_atom_site_fract_x
_atom_site_fract_y
_atom_site_fract_z
Li1 Li 0.000 0.000 0.000
Ac1 Ac 0.213 0.574 0.639
Al1 Al 0.500 0.000 0.500
Cd1 Cd 0.242 0.515 0.166
Cd2 Cd 0.244 0.075 0.165
Cd3 Cd 0.319 0.923 0.833



# PBE-GGA LiAc2Al3Cd4, relaxed
# V in Å³ per cell: 247.27
# M_tot in μB per cell: 0.0
# DOS at the Fermi energy in states/eV per cell: 5.884
# Formation enthalpy at 0 K in meV/atom: -287
# VASP energy in eV/cell: -27.9
data_LiAc2Al3Cd4
_chemical_formula_sum 'Li1 Ac2 Al3 Cd4'
_symmetry_space_group_name_H-M 'P -4 m 2'
_symmetry_Int_Tables_number 115
_cell_length_a 4.663
_cell_length_b 4.663
_cell_length_c 11.372
_cell_angle_alpha 90.00
_cell_angle_beta 90.00
_cell_angle_gamma 90.00
loop_
_symmetry_equiv_pos_as_xyz
'x,y,z'
'y,-x,-z'
'-x,-y,z'
'-y,x,-z'
'-x,y,z'
'-y,-x,-z'
'x,-y,z'
'y,x,-z'
loop_
_atom_site_label
_atom_site_type_symbol
_atom_site_fract_x
_atom_site_fract_y
_atom_site_fract_z
Li1 Li 0.000 0.000 0.000
Ac1 Ac 0.000 0.500 0.749
Al1 Al 0.000 0.500 0.360
Al2 Al 0.500 0.500 0.000
Cd1 Cd 0.000 0.000 0.500
Cd2 Cd 0.000 0.500 0.124
Cd3 Cd 0.500 0.500 0.500